1.
Compound: LaGa9Co2
Source: the Alexandria database
Functional: GGA-PBE
Structure: relaxed

Results
The formation energy comes out at -0.26 eV/atom. The theoretical density is 7.31 g/cm³.

POSCAR file:
```
LaGa9Co2
1.0
-5.191 5.191 3.727
5.191 -5.191 3.727
5.191 5.191 -3.727
La Ga Co
2 18 4
Direct
0.375 0.625 0.750
0.625 0.375 0.250
0.125 0.875 0.250
0.144 0.571 0.329
0.144 0.815 0.573
0.185 0.258 0.329
0.185 0.856 0.927
0.258 0.185 0.829
0.258 0.429 0.073
0.429 0.258 0.573
0.429 0.856 0.171
0.571 0.144 0.829
0.571 0.742 0.427
0.742 0.571 0.927
0.742 0.815 0.171
0.815 0.144 0.073
0.815 0.742 0.671
0.856 0.185 0.427
0.856 0.429 0.671
0.875 0.125 0.750
0.000 0.000 0.000
0.000 0.000 0.500
0.000 0.500 0.000
0.500 0.000 0.500
```

---

2.
Compound: Ca3LaMo
Source: the Alexandria database
Functional: GGA-PBE
Structure: relaxed

Results
The formation energy comes out at 1.91 eV/atom. The theoretical density is 3.48 g/cm³.

POSCAR file:
```
Ca3LaMo
1.0
5.533 0.000 0.000
0.000 5.533 0.000
0.000 0.000 5.533
Ca La Mo
3 1 1
Direct
0.000 0.000 0.500
0.000 0.500 0.000
0.500 0.000 0.000
0.000 0.000 0.000
0.500 0.500 0.500
```

---

It is found that the ΔE to the lowest computed polymorph values, taken in the order of the records, are 76 1189 meV per atom.